Record 1
Density functional theory data (PBE-GGA) for a geometry-optimized CoAs2Se structure.

The structure belongs to space group Immm (No. 71); the cell edges are 2.882, 4.450 and 10.876 Å and the angles 90.00°, 90.00° and 90.00°. The asymmetric unit holds Co at (0.000, 0.000, 0.000), As at (0.000, 0.500, 0.319) and Se at (0.000, 0.000, 0.500).

As for the density of states at the Fermi level: 5.29 states/eV per cell. The value obtained for the uncorrected formation energy is 0.162 eV/atom. As for the theoretical density: 6.85 g/cm³. As for the total magnetization: 0.00 μB per atom.

---

Record 2
Density functional theory data (PBE-GGA) for a geometry-optimized HoScRh structure.

The structure belongs to space group F-43m (No. 216); the cell edges are 6.581, 6.581 and 6.581 Å and the angles 90.00°, 90.00° and 90.00°. The asymmetric unit holds Ho at (0.000, 0.000, 0.000), Sc at (0.000, 0.000, 0.500) and Rh at (0.250, 0.250, 0.750).

The energy relative to the lowest polymorph listed for this composition comes out at 109 meV/atom. As for the density of states at the Fermi level: 12.85 states/eV per cell. As for the theoretical density: 7.29 g/cm³. The value obtained for the energy of formation from the pure elements is -0.5843 eV/atom. As for the total magnetization: 0.00 μB per atom.

---

Record 3
Density functional theory data (PBE-GGA) for a geometry-optimized Na4TlPb5 structure.

The structure belongs to space group P-1 (No. 2); the cell edges are 4.666, 8.855 and 8.962 Å and the angles 74.04°, 75.01° and 74.81°. The asymmetric unit holds Na at (0.055, 0.197, 0.194), Na at (0.348, 0.405, 0.398), Tl at (0.500, 0.000, 0.500), Pb at (0.164, 0.804, 0.365), Pb at (0.175, 0.344, 0.808) and Pb at (0.500, 0.500, 0.000).

The energy relative to the lowest polymorph listed for this composition comes out at 80 meV/atom. As for the density of states at the Fermi level: 4.34 states/eV per cell. As for the theoretical density: 6.57 g/cm³. The value obtained for the energy of formation from the pure elements is -0.0033 eV/atom. As for the total magnetization: 0.00 μB per atom.

---

Record 4
Density functional theory data (PBE-GGA) for a geometry-optimized ZrCuAu structure.

The structure belongs to space group F-43m (No. 216); the cell edges are 6.139, 6.139 and 6.139 Å and the angles 90.00°, 90.00° and 90.00°. The asymmetric unit holds Zr at (0.000, 0.000, 0.000), Cu at (0.250, 0.250, 0.750) and Au at (0.000, 0.000, 0.500).

The energy relative to the lowest polymorph listed for this composition comes out at 254 meV/atom. As for the density of states at the Fermi level: 16.10 states/eV per cell. As for the theoretical density: 10.10 g/cm³. The value obtained for the energy of formation from the pure elements is -0.1119 eV/atom. As for the total magnetization: 0.00 μB per atom.

---

Record 5
Density functional theory data (PBE-GGA) for a geometry-optimized TbPd9Au2 structure.

The structure belongs to space group P4/mmm (No. 123); the cell edges are 4.055, 4.055 and 12.094 Å and the angles 90.00°, 90.00° and 90.00°. The asymmetric unit holds Tb at (0.000, 0.000, 0.000), Pd at (0.000, 0.500, 0.173), Pd at (0.000, 0.500, 0.500), Pd at (0.500, 0.500, 0.000), Pd at (0.500, 0.500, 0.336) and Au at (0.000, 0.000, 0.338).

As for the density of states at the Fermi level: 12.22 states/eV per cell. As for the theoretical density: 12.61 g/cm³. The value obtained for the energy of formation from the pure elements is -0.3144 eV/atom. As for the total magnetization: 0.00 μB per atom.

---

Record 6
Density functional theory data (PBE-GGA) for a geometry-optimized MnCu2C structure.

The structure belongs to space group Fm-3m (No. 225); the cell edges are 5.632, 5.632 and 5.632 Å and the angles 90.00°, 90.00° and 90.00°. The asymmetric unit holds Mn at (0.000, 0.000, 0.000), Cu at (0.250, 0.250, 0.250) and C at (0.000, 0.000, 0.500).

The energy relative to the lowest polymorph listed for this composition comes out at 286 meV/atom. As for the density of states at the Fermi level: 6.29 states/eV per cell. As for the theoretical density: 7.21 g/cm³. The value obtained for the energy of formation from the pure elements is 1.1754 eV/atom. As for the total magnetization: 1.05 μB per atom.

---

Record 7
Density functional theory data (PBE-GGA) for a geometry-optimized NdYP2O8 structure.

The structure belongs to space group P-3m1 (No. 164); the cell edges are 5.2747, 5.2747 and 7.1686 Å and the angles 90.00°, 90.00° and 120.00°. The asymmetric unit holds Nd at (0.0000, 0.0000, 0.0000), Y at (0.0000, 0.0000, 0.5000), P at (0.3333, 0.6667, 0.7964), O at (0.1735, 0.3470, 0.7221) and O at (0.3333, 0.6667, 0.0096).

As for the density of states at the Fermi level: 0.00 states/eV per cell. The value obtained for the uncorrected formation energy is -2.892 eV/atom. As for the theoretical density: 4.07 g/cm³. As for the total magnetization: 0.00 μB per atom.

---

Record 8
Density functional theory data (PBE-GGA) for a geometry-optimized ZnSiCl4 structure.

The structure belongs to space group F-43m (No. 216); the cell edges are 8.316, 8.316 and 8.316 Å and the angles 90.00°, 90.00° and 90.00°. The asymmetric unit holds Zn at (0.000, 0.000, 0.000), Si at (0.250, 0.250, 0.250) and Cl at (0.125, 0.125, 0.625).

As for the density of states at the Fermi level: 8.28 states/eV per cell. The value obtained for the uncorrected formation energy is 0.730 eV/atom. As for the theoretical density: 2.72 g/cm³. As for the total magnetization: 0.34 μB per atom.

---

Record 9
Density functional theory data (PBE-GGA) for a geometry-optimized Ba6As2PdCl3 structure.

The structure belongs to space group C2/m (No. 12); the cell edges are 20.438, 4.705 and 9.553 Å and the angles 90.00°, 103.51° and 90.00°. The asymmetric unit holds Ba at (0.003, 0.000, 0.239), Ba at (0.158, 0.500, 0.098), Ba at (0.172, 0.500, 0.573), As at (0.164, 0.000, 0.335), Pd at (0.000, 0.500, 0.000), Cl at (0.000, 0.500, 0.500) and Cl at (0.170, 0.000, 0.836).

As for the density of states at the Fermi level: 8.62 states/eV per cell. The value obtained for the uncorrected formation energy is -1.520 eV/atom. As for the theoretical density: 4.41 g/cm³. As for the total magnetization: 0.00 μB per atom.

---

Record 10
Density functional theory data (PBE-GGA) for a geometry-optimized AgPt2Br structure.

The structure belongs to space group Cmm2 (No. 35); the cell edges are 2.999, 5.095 and 9.511 Å and the angles 90.00°, 90.00° and 90.00°. The asymmetric unit holds Ag at (0.000, 0.000, 0.000), Pt at (0.000, 0.000, 0.478), Pt at (0.000, 0.500, 0.246) and Br at (0.000, 0.500, 0.727).

The energy relative to the lowest polymorph listed for this composition comes out at 184 meV/atom. As for the density of states at the Fermi level: 8.83 states/eV per cell. The value obtained for the uncorrected formation energy is 0.384 eV/atom. As for the theoretical density: 13.21 g/cm³. As for the total magnetization: 0.00 μB per atom.

---

Record 11
Density functional theory data (PBE-GGA) for a geometry-optimized SrRePt structure.

The structure belongs to space group I4mm (No. 107); the cell edges are 2.999, 2.999 and 13.440 Å and the angles 90.00°, 90.00° and 90.00°. The asymmetric unit holds Sr at (0.000, 0.000, 0.000), Re at (0.000, 0.000, 0.310) and Pt at (0.000, 0.000, 0.691).

The energy relative to the lowest polymorph listed for this composition comes out at 108 meV/atom. As for the density of states at the Fermi level: 8.81 states/eV per cell. As for the theoretical density: 12.89 g/cm³. The value obtained for the energy of formation from the pure elements is 0.3489 eV/atom. As for the total magnetization: 0.00 μB per atom.

---

Record 12
Density functional theory data (PBE-GGA) for a geometry-optimized CdPPt2F structure.

The structure belongs to space group P4/mmm (No. 123); the cell edges are 4.516, 4.516 and 4.341 Å and the angles 90.00°, 90.00° and 90.00°. The asymmetric unit holds Cd at (0.000, 0.000, 0.000), P at (0.500, 0.500, 0.000), Pt at (0.000, 0.500, 0.500) and F at (0.000, 0.000, 0.500).

As for the density of states at the Fermi level: 3.69 states/eV per cell. The value obtained for the uncorrected formation energy is 0.531 eV/atom. As for the theoretical density: 10.36 g/cm³. As for the total magnetization: 0.00 μB per atom.